Entry 1:
{"formula": "Al3Ir2", "functional": "PBE-GGA", "state": "relaxed", "sg": "Fddd (70)", "lattice_angstrom": [[0.000, 4.392, 6.815], [2.421, 0.000, 6.815], [2.421, 4.392, 0.000]], "species": ["Ir", "Al", "Ir", "Al", "Al", "Al", "Ir", "Al", "Ir", "Al"], "frac_coords": [[0.438, 0.438, 0.062], [0.865, 0.865, 0.635], [0.188, 0.188, 0.812], [0.250, 0.250, 0.250], [0.635, 0.635, 0.865], [0.000, 0.000, 0.000], [0.812, 0.812, 0.188], [0.615, 0.615, 0.385], [0.062, 0.062, 0.438], [0.385, 0.385, 0.615]]}

***

Entry 2:
{"formula": "AlIr", "functional": "PBE-GGA", "state": "relaxed", "sg": "Pmn2_1 (31)", "lattice_angstrom": [[7.481, 0.000, 0.000], [0.000, 4.894, 0.000], [0.000, 0.000, 4.863]], "species": ["Ir", "Al", "Ir", "Al", "Al", "Al", "Ir", "Al", "Ir", "Al", "Ir", "Ir"], "frac_coords": [[0.681, 0.083, 0.416], [0.685, 0.580, 0.245], [0.181, 0.917, 0.916], [0.815, 0.420, 0.745], [0.315, 0.580, 0.245], [0.500, 0.763, 0.754], [0.000, 0.733, 0.426], [0.000, 0.237, 0.254], [0.319, 0.083, 0.416], [0.185, 0.420, 0.745], [0.819, 0.917, 0.916], [0.500, 0.267, 0.926]]}

***

Entry 3:
{"formula": "Al5Ir", "functional": "PBE-GGA", "state": "relaxed", "sg": "P-62m (189)", "lattice_angstrom": [[0.492, 4.806, -0.073], [-1.937, -2.288, -3.789], [-4.107, 0.448, 1.829]], "species": ["Al", "Al", "Al", "Ir", "Al", "Al"], "frac_coords": [[0.321, 0.321, 0.000], [0.333, 0.667, 0.500], [0.679, 0.000, 0.000], [0.000, 0.000, 0.500], [0.667, 0.333, 0.500], [0.000, 0.679, 0.000]]}

***

Entry 4:
{"formula": "Al13Ir2", "functional": "PBE-GGA", "state": "relaxed", "sg": "P-1 (2)", "lattice_angstrom": [[-1.090, -0.418, -4.902], [-3.391, -4.850, 2.130], [-4.816, 6.971, -0.132]], "species": ["Al", "Al", "Al", "Al", "Ir", "Al", "Al", "Al", "Al", "Al", "Al", "Al", "Al", "Al", "Ir"], "frac_coords": [[0.246, 0.386, 0.922], [0.000, 0.000, 0.000], [0.515, 0.409, 0.628], [0.240, 0.966, 0.587], [0.244, 0.200, 0.379], [0.028, 0.518, 0.669], [0.730, 0.203, 0.804], [0.972, 0.482, 0.331], [0.468, 0.802, 0.877], [0.754, 0.614, 0.078], [0.485, 0.591, 0.372], [0.270, 0.797, 0.196], [0.532, 0.198, 0.123], [0.760, 0.034, 0.413], [0.756, 0.800, 0.621]]}

***

Entry 5:
{"formula": "AlIr", "functional": "PBE-GGA", "state": "relaxed", "sg": "P-3m1 (164)", "lattice_angstrom": [[-0.222, 2.492, 3.572], [0.655, -4.295, 0.375], [10.875, 1.619, -0.453]], "species": ["Ir", "Al", "Al", "Al", "Al", "Ir", "Al", "Ir", "Ir", "Ir", "Ir", "Al"], "frac_coords": [[0.667, 0.333, 0.834], [0.000, 0.000, 0.616], [0.667, 0.333, 0.315], [0.000, 0.000, 0.384], [0.333, 0.667, 0.685], [0.000, 0.000, 0.838], [0.667, 0.333, 0.060], [0.000, 0.000, 0.162], [0.667, 0.333, 0.567], [0.333, 0.667, 0.433], [0.333, 0.667, 0.166], [0.333, 0.667, 0.940]]}

***

Entry 6:
{"formula": "Al5Ir4", "functional": "PBE-GGA", "state": "relaxed", "sg": "I4/mmm (139)", "polymorph_energy_mev_per_atom": 80.1, "lattice_angstrom": [[5.216, 2.543, -1.683], [-2.821, -2.324, 4.811], [0.912, -5.266, -2.818]], "species": ["Al", "Al", "Al", "Ir", "Al", "Ir", "Al", "Ir", "Ir"], "frac_coords": [[0.671, 0.329, 0.000], [0.000, 0.000, 0.000], [0.671, 0.671, 0.342], [0.680, 0.000, 0.680], [0.329, 0.329, 0.658], [0.000, 0.680, 0.680], [0.329, 0.671, 0.000], [0.320, 0.000, 0.320], [0.000, 0.320, 0.320]]}

***

Raw total energy list, top to bottom, in eV/atom: -6.550 -6.817 -4.889 -4.688 -6.657 -6.568